GGA-PBE ErAsSe3S, relaxed; magnetic moment = 0.0 μB/f.u.; calculated total energy = -56.837 eV/cell
1.0
6.7287 0.0000 0.0000
0.9540 6.8297 0.0000
0.3377 0.1643 7.9170
Er As Se S
2 2 6 2
direct
0.1983 0.2010 0.0542
0.8017 0.7990 0.9458
0.3113 0.7528 0.8137
0.6887 0.2472 0.1863
0.1058 0.5044 0.7797
0.3965 0.7799 0.0981
0.4006 0.2582 0.3555
0.5994 0.7418 0.6445
0.6035 0.2201 0.9019
0.8942 0.4956 0.2203
0.0764 0.0101 0.7754
0.9236 0.9899 0.2246